1.
The following is a SCAN calculation of a crystal of Na3B3H2O7 relaxed with PBEsol, from Alexandria via LeMat-Bulk.

Output
The calculated total energy is -7.90 eV/atom. The space group is No. 62.

Structure (extended XYZ):
```
60
Lattice="7.143 0.000 0.000 0.000 8.884 0.000 0.000 0.000 9.535" Properties=species:S:1:pos:R:3 pbc="T T T"
Na 3.564 2.010 1.861
Na 0.008 6.453 2.906
Na 7.135 6.874 7.673
Na 3.580 2.432 6.629
Na 3.580 6.874 7.673
Na 7.135 2.432 6.629
Na 0.008 2.010 1.861
Na 3.564 6.453 2.906
Na 1.786 8.529 1.619
Na 1.786 4.087 3.149
Na 5.358 0.355 7.916
Na 5.358 4.798 6.386
B 5.358 8.738 2.702
B 5.358 4.296 2.065
B 1.786 0.146 6.832
B 1.786 4.588 7.470
B 5.358 8.053 5.184
B 5.358 3.611 9.118
B 1.786 0.831 4.351
B 1.786 5.273 0.416
B 5.358 1.579 4.556
B 5.358 6.021 0.211
B 1.786 7.306 4.979
B 1.786 2.864 9.323
H 4.462 8.100 1.007
H 6.253 3.658 3.760
H 0.891 0.784 8.528
H 2.681 5.226 5.774
H 2.681 0.784 8.528
H 0.891 5.226 5.774
H 6.253 8.100 1.007
H 4.462 3.658 3.760
O 4.152 8.556 1.851
O 6.563 4.114 2.917
O 0.581 0.328 7.684
O 2.991 4.770 6.618
O 2.991 0.328 7.684
O 0.581 4.770 6.618
O 6.563 8.556 1.851
O 4.152 4.114 2.917
O 5.358 1.230 3.223
O 5.358 5.672 1.544
O 1.786 7.654 6.311
O 1.786 3.212 7.991
O 5.358 7.755 3.819
O 5.358 3.313 0.949
O 1.786 1.129 5.716
O 1.786 5.571 8.586
O 5.358 7.142 6.152
O 5.358 2.700 8.150
O 1.786 1.742 3.383
O 1.786 6.184 1.384
O 5.358 0.564 5.525
O 5.358 5.007 8.777
O 1.786 8.320 4.010
O 1.786 3.878 0.757
O 5.358 2.873 4.958
O 5.358 7.315 9.344
O 1.786 6.011 4.577
O 1.786 1.569 0.190
```


2.
The following is a SCAN calculation of a crystal of NaB5H4O10 relaxed with PBEsol, from Alexandria via LeMat-Bulk.

Output
The calculated total energy is -8.02 eV/atom. The space group is No. 14.

Structure (extended XYZ):
```
80
Lattice="7.976 0.000 0.000 0.000 8.614 -0.027 0.000 -3.697 12.498" Properties=species:S:1:pos:R:3 pbc="T T T"
Na 5.856 -2.014 9.252
Na 1.868 5.081 9.468
Na 2.120 6.930 3.219
Na 6.108 -0.165 3.003
B 0.755 -0.541 10.092
B 4.743 3.608 8.628
B 7.221 5.457 2.379
B 3.233 1.308 3.843
B 2.555 0.638 11.174
B 6.543 2.429 7.547
B 5.421 4.278 1.298
B 1.433 2.487 4.925
B 1.751 -1.527 12.104
B 5.739 4.594 6.617
B 6.225 6.443 0.367
B 2.237 0.322 5.855
B 0.494 1.532 1.631
B 4.482 5.233 4.591
B 7.482 3.384 10.841
B 3.494 -0.317 7.880
B 2.274 0.099 0.909
B 6.262 6.666 5.314
B 5.702 4.817 11.563
B 1.714 -1.750 7.158
H 7.065 2.641 2.461
H 3.077 4.124 3.762
H 0.911 2.275 10.011
H 4.899 0.792 8.710
H 3.907 7.569 0.703
H 7.895 -0.804 5.520
H 4.068 -2.653 11.769
H 0.081 5.720 6.952
H 7.589 0.228 8.595
H 3.601 2.839 10.126
H 0.387 4.688 3.877
H 4.375 2.077 2.346
H 4.131 1.667 11.888
H 0.143 1.400 6.833
H 3.845 3.249 0.584
H 7.833 3.516 5.639
O 1.500 0.641 10.262
O 5.488 2.426 8.459
O 6.476 4.275 2.210
O 2.488 2.490 4.013
O 2.725 -0.404 12.039
O 6.713 3.471 6.681
O 5.251 5.320 0.432
O 1.263 1.445 5.790
O 1.069 -1.656 10.812
O 5.057 4.724 7.909
O 6.907 6.573 1.660
O 2.919 0.192 4.563
O 2.542 -2.758 12.354
O 6.530 5.825 6.367
O 5.434 7.674 0.118
O 1.446 -0.909 6.104
O 0.791 2.424 0.661
O 4.779 4.341 5.561
O 7.185 2.492 11.810
O 3.197 0.575 6.911
O 1.209 0.338 1.769
O 5.197 6.426 4.454
O 6.767 4.578 10.703
O 2.779 -1.510 8.018
O 7.455 1.726 2.536
O 3.467 5.038 3.687
O 0.521 3.190 9.936
O 4.509 -0.122 8.785
O 3.014 7.607 1.165
O 7.002 -0.842 5.058
O 4.962 -2.691 11.307
O 0.974 5.758 7.414
O 7.717 -0.589 9.187
O 3.729 3.656 9.534
O 0.259 5.505 3.284
O 4.247 1.260 2.938
O 3.388 1.716 11.182
O 7.375 1.352 7.539
O 4.588 3.201 1.290
O 0.600 3.564 4.933
```


Which of these has the highest calculated total energy?
Na3B3H2O7


Look up the calculated total energy of the first one.
-7.90 eV/atom